Below is an optimized crystal structure of KNiPH2O5, with properties calculated at the PBE+U level.

Cell and atoms, written as CIF:
```
data_KNiPH2O5
_cell_length_a 4.764
_cell_length_b 5.600
_cell_length_c 8.345
_cell_angle_alpha 90.00
_cell_angle_beta 90.00
_cell_angle_gamma 90.00
_symmetry_space_group_name_H-M 'P 1'
_symmetry_Int_Tables_number 1
loop_
_symmetry_equiv_pos_as_xyz
'x,y,z'
loop_
_atom_site_label
_atom_site_type_symbol
_atom_site_fract_x
_atom_site_fract_y
_atom_site_fract_z
K1 K 0.631 0.000 0.458
K2 K 0.131 0.500 0.542
Ni1 Ni 0.505 0.000 0.017
Ni2 Ni 0.005 0.500 0.983
P1 P 0.078 0.000 0.791
P2 P 0.578 0.500 0.209
H1 H 0.084 0.141 0.191
H2 H 0.084 0.859 0.191
H3 H 0.584 0.359 0.809
H4 H 0.584 0.641 0.809
O1 O 0.760 0.000 0.821
O2 O 0.260 0.500 0.179
O3 O 0.138 0.000 0.610
O4 O 0.638 0.500 0.390
O5 O 0.207 0.000 0.208
O6 O 0.707 0.500 0.792
O7 O 0.224 0.222 0.876
O8 O 0.224 0.778 0.876
O9 O 0.724 0.278 0.124
O10 O 0.724 0.722 0.124
```

Results
DOS at the Fermi energy = 0.0 states/eV/cell
E = -5.77 eV per atom
crystal system = orthorhombic
space-group type = Pmn2_1 (31)